Density functional theory data (GGA-PBE) for HfOs2F4 after structural relaxation.

The structure belongs to space group I4/mmm (No. 139); the cell edges are 4.715, 4.715 and 10.963 Å and the angles 90.00°, 90.00° and 90.00°. The distinct sites, in fractional coordinates, are Hf at (0.000, 0.000, 0.000), Os at (0.000, 0.000, 0.396), F at (0.000, 0.000, 0.181) and F at (0.000, 0.500, 0.000).

Its energy relative to the elements, uncorrected is -56.3 kJ/mol of atoms. The volume comes out at 17.4 Å³ per atom.